(1)
Computed, not measured: an optimized crystal structure of BiSbO3 at the PBE level of DFT.

Lattice parameters (Å, degrees): 5.949 5.949 5.949 65.12 65.12 65.12
Atoms (fractional coordinates):
Bi1 0.868 0.868 0.868
Bi2 0.132 0.132 0.132
Sb1 0.646 0.646 0.646
Sb2 0.354 0.354 0.354
O1 0.233 0.510 0.023
O2 0.023 0.233 0.510
O3 0.510 0.023 0.233
O4 0.490 0.977 0.767
O5 0.977 0.767 0.490
O6 0.767 0.490 0.977

Calculated values
Uncorrected formation energy ... -1.201 eV per atom



(2)
Computed, not measured: an optimized crystal structure of Ca2CdInPt at the PBE level of DFT.

Lattice parameters (Å, degrees): 5.519 5.519 5.166 90.00 90.00 90.00
Atoms (fractional coordinates):
Ca1 0.000 0.500 0.000
Ca2 0.500 0.000 0.000
Cd1 0.500 0.500 0.500
Pt1 0.000 0.000 0.000
In1 0.000 0.000 0.500

Calculated values
Energy relative to the elements ... -459 meV/atom



(3)
Computed, not measured: an optimized crystal structure of PtBr2 at the PBE level of DFT.

Lattice parameters (Å, degrees): 6.524 6.524 6.524 90.00 90.00 90.00
Atoms (fractional coordinates):
Br1 0.656 0.656 0.344
Br2 0.344 0.344 0.656
Br3 0.156 0.844 0.656
Br4 0.844 0.156 0.344
Br5 0.344 0.156 0.156
Br6 0.656 0.844 0.844
Br7 0.844 0.344 0.844
Br8 0.156 0.656 0.156
Pt1 0.000 0.000 0.000
Pt2 0.500 0.500 0.000
Pt3 0.500 0.000 0.500
Pt4 0.000 0.500 0.500

Calculated values
Uncorrected formation energy ... 0.040 eV per atom



(4)
Computed, not measured: an optimized crystal structure of Tl4InPb15 at the PBE level of DFT.

Lattice parameters (Å, degrees): 5.012 5.012 24.885 90.00 90.00 90.00
Atoms (fractional coordinates):
Tl1 0.000 0.000 0.199
Tl2 0.000 0.000 0.400
Tl3 0.000 0.000 0.600
Tl4 0.000 0.000 0.801
In1 0.000 0.000 0.000
Pb1 0.500 0.500 0.000
Pb2 0.500 0.500 0.199
Pb3 0.500 0.500 0.400
Pb4 0.500 0.500 0.600
Pb5 0.500 0.500 0.801
Pb6 0.500 0.000 0.098
Pb7 0.500 0.000 0.300
Pb8 0.500 0.000 0.500
Pb9 0.500 0.000 0.700
Pb10 0.500 0.000 0.902
Pb11 0.000 0.500 0.098
Pb12 0.000 0.500 0.300
Pb13 0.000 0.500 0.500
Pb14 0.000 0.500 0.700
Pb15 0.000 0.500 0.902

Calculated values
Energy relative to the elements ... 11 meV/atom



(5)
Computed, not measured: an optimized crystal structure of MgUGeAu at the PBE level of DFT.

Lattice parameters (Å, degrees): 4.910 4.910 4.910 60.00 60.00 60.00
Atoms (fractional coordinates):
Au1 0.750 0.750 0.750
Ge1 0.250 0.250 0.250
U1 0.000 0.000 0.000
Mg1 0.500 0.500 0.500

Calculated values
Energy relative to the elements ... -251 meV/atom



(6)
Computed, not measured: an optimized crystal structure of Tl2AgPb at the PBE level of DFT.

Lattice parameters (Å, degrees): 5.173 4.598 4.598 90.00 90.00 90.00
Atoms (fractional coordinates):
Pb1 0.500 0.000 0.500
Tl1 0.000 0.000 0.000
Tl2 0.000 0.500 0.500
Ag1 0.500 0.500 0.000

Calculated values
Energy relative to the elements ... 125 meV/atom



(7)
Computed, not measured: an optimized crystal structure of SbS4N3 at the PBE level of DFT.

Lattice parameters (Å, degrees): 6.454 6.864 6.313 128.50 88.76 107.12
Atoms (fractional coordinates):
Sb1 0.191 0.766 0.087
S1 0.317 0.515 0.292
S2 0.842 0.872 0.062
S3 0.108 0.893 0.578
S4 0.718 0.319 0.744
N1 0.649 0.570 0.874
N2 0.969 0.378 0.815
N3 0.207 0.688 0.549

Calculated values
Uncorrected formation energy ... 0.438 eV per atom



(8)
Computed, not measured: an optimized crystal structure of RbLaNi at the PBE level of DFT.

Lattice parameters (Å, degrees): 8.129 5.282 5.287 90.00 108.88 90.00
Atoms (fractional coordinates):
Rb1 0.303 0.000 0.397
Rb2 0.303 0.500 0.897
La1 0.790 0.000 0.637
La2 0.790 0.500 0.137
Ni1 0.651 0.000 0.068
Ni2 0.651 0.500 0.568

Calculated values
Energy relative to the elements ... 187 meV/atom



Values of density of states at the Fermi level, in order: 0.0; 2.0; 5.9; 14.8; 5.4; 2.0; 0.0; 5.6, all in states/eV per cell.
Values of calculated volume, in order: 16.55; 31.47; 23.14; 31.25; 20.92; 27.35; 25.53; 35.80, all in A^3/atom.